Record 1
Computed, not measured: a relaxed TiFeH3 crystal at the PBE-GGA level of DFT. Values from VASP.

```
&SYSTEM
  ibrav = 0, nat = 5, ntyp = 3
/
ATOMIC_SPECIES
H 1.01 H.upf
Fe 55.84 Fe.upf
Ti 47.87 Ti.upf
CELL_PARAMETERS angstrom
-0.725 2.620 -1.017
-2.736 -0.417 0.876
2.655 0.587 3.762
ATOMIC_POSITIONS angstrom
H -0.877 0.687 2.397
H 0.846 1.546 3.380
H 0.128 2.206 1.451
Fe -1.448 1.617 1.056
Ti -0.901 2.617 3.244
```

size of the total moment = 0.004 μB/f.u.
DFT total energy = -5.42 eV/atom
symmetry = I4mm
DOS(E_F) = 0.5247 states/eV/atom



Record 2
Computed, not measured: a relaxed YCuSb2 crystal at the PBE-GGA level of DFT. Values from VASP.

```
&SYSTEM
  ibrav = 0, nat = 4, ntyp = 3
/
ATOMIC_SPECIES
Cu 63.55 Cu.upf
Sb 121.76 Sb.upf
Y 88.91 Y.upf
CELL_PARAMETERS angstrom
5.863 -0.019 0.000
2.740 5.184 0.000
-4.302 -2.582 3.034
ATOMIC_POSITIONS angstrom
Cu 2.932 -0.009 1.517
Sb 0.000 0.000 0.000
Sb 1.370 2.592 1.517
Y 4.302 2.582 0.000
```

size of the total moment = 0.000 μB/f.u.
E_form (uncorrected) = -0.35 eV/atom
DFT total energy = -5.05 eV/atom
symmetry = I-4m2
DOS(E_F) = 0.4173 states/eV/atom



Record 3
Computed, not measured: a relaxed Ca2Zn2Ir crystal at the PBE-GGA level of DFT. Values from VASP.

```
&SYSTEM
  ibrav = 0, nat = 5, ntyp = 3
/
ATOMIC_SPECIES
Ca 40.08 Ca.upf
Zn 65.41 Zn.upf
Ir 192.22 Ir.upf
CELL_PARAMETERS angstrom
4.346 0.000 0.000
0.000 5.474 0.000
-2.173 -2.737 4.556
ATOMIC_POSITIONS angstrom
Ca 0.000 2.737 1.769
Ca 2.173 0.000 2.787
Zn 2.173 1.362 0.000
Zn 2.173 4.113 0.000
Ir 0.000 0.000 0.000
```

size of the total moment = 0.000 μB/f.u.
DFT total energy = -3.44 eV/atom
energy relative to the elements = -0.360 eV per atom
symmetry = Immm
DOS(E_F) = 0.4712 states/eV/atom



Record 4
Computed, not measured: a relaxed Pr6NiI12 crystal at the PBE-GGA level of DFT. Values from VASP.

```
&SYSTEM
  ibrav = 0, nat = 19, ntyp = 3
/
ATOMIC_SPECIES
Pr 140.91 Pr.upf
I 126.90 I.upf
Ni 58.69 Ni.upf
CELL_PARAMETERS angstrom
9.064 0.325 1.965
1.652 8.919 1.965
0.377 0.325 9.267
ATOMIC_POSITIONS angstrom
Pr 7.818 2.323 4.098
Pr 8.401 7.247 4.792
Pr 7.649 2.177 9.100
Pr 3.444 7.392 4.098
Pr 2.692 2.323 8.406
Pr 3.276 7.247 9.100
I 1.956 5.181 2.327
I 9.732 8.395 7.466
I 1.362 1.175 5.732
I 5.974 5.154 3.780
I 9.138 4.388 10.871
I 8.397 4.416 6.663
I 5.493 1.911 6.535
I 5.600 7.659 6.663
I 5.682 8.395 10.871
I 5.119 4.416 9.418
I 5.412 1.175 2.327
I 2.696 5.154 6.535
Ni 0.000 0.000 0.000
```

size of the total moment = 0.000 μB/f.u.
E_form (uncorrected) = -1.03 eV/atom
DFT total energy = -3.83 eV/atom
symmetry = R-3m
DOS(E_F) = 0.4973 states/eV/atom



Record 5
Computed, not measured: a relaxed NaFe3Br crystal at the PBE-GGA level of DFT. Values from VASP.

```
&SYSTEM
  ibrav = 0, nat = 5, ntyp = 3
/
ATOMIC_SPECIES
Br 79.90 Br.upf
Fe 55.84 Fe.upf
Na 22.99 Na.upf
CELL_PARAMETERS angstrom
-4.594 -0.052 1.092
-1.083 -0.428 -4.576
0.149 -4.702 0.405
ATOMIC_POSITIONS angstrom
Br -2.763 -2.591 -1.540
Fe -2.297 -0.026 0.546
Fe 0.075 -2.351 0.202
Fe -0.541 -0.214 -2.288
Na 0.000 0.000 0.000
```

size of the total moment = 8.963 μB/f.u.
E_form (uncorrected) = 1.86 eV/atom
DFT total energy = -3.81 eV/atom
symmetry = Pm-3m
DOS(E_F) = 2.8789 states/eV/atom



Record 6
Computed, not measured: a relaxed KCr3Se crystal at the PBE-GGA level of DFT. Values from VASP.

```
&SYSTEM
  ibrav = 0, nat = 5, ntyp = 3
/
ATOMIC_SPECIES
Se 78.96 Se.upf
Cr 52.00 Cr.upf
K 39.10 K.upf
CELL_PARAMETERS angstrom
5.105 0.000 0.000
0.000 5.105 0.000
0.000 0.000 5.105
ATOMIC_POSITIONS angstrom
Se 0.000 0.000 0.000
Cr 0.000 2.552 0.000
Cr 2.552 0.000 0.000
Cr 0.000 0.000 2.552
K 2.552 2.552 2.552
```

size of the total moment = 13.231 μB/f.u.
E_form (uncorrected) = 0.87 eV/atom
DFT total energy = -5.82 eV/atom
symmetry = Pm-3m
DOS(E_F) = 0.5070 states/eV/atom



Record 7
Computed, not measured: a relaxed FeHg2Ru crystal at the PBE-GGA level of DFT. Values from VASP.

```
&SYSTEM
  ibrav = 0, nat = 4, ntyp = 3
/
ATOMIC_SPECIES
Hg 200.59 Hg.upf
Fe 55.84 Fe.upf
Ru 101.07 Ru.upf
CELL_PARAMETERS angstrom
9.673 -0.062 -0.036
9.244 2.849 -0.036
9.244 1.362 2.503
ATOMIC_POSITIONS angstrom
Hg 6.782 0.999 0.585
Hg 0.310 0.046 0.027
Fe 21.389 3.151 1.846
Ru 13.763 2.028 1.188
```

size of the total moment = 2.729 μB/f.u.
DFT total energy = -4.15 eV/atom
energy relative to the elements = 0.436 eV per atom
symmetry = R3m
DOS(E_F) = 1.0951 states/eV/atom



Record 8
Computed, not measured: a relaxed Cd2GaAu5 crystal at the PBE-GGA level of DFT. Values from VASP.

```
&SYSTEM
  ibrav = 0, nat = 8, ntyp = 3
/
ATOMIC_SPECIES
Cd 112.41 Cd.upf
Au 196.97 Au.upf
Ga 69.72 Ga.upf
CELL_PARAMETERS angstrom
0.650 -0.091 5.768
0.555 -5.462 -1.885
3.987 3.643 -2.128
ATOMIC_POSITIONS angstrom
Cd 1.883 -3.290 0.810
Cd 3.600 1.263 0.688
Au 3.189 1.030 -2.203
Au 1.678 -2.979 -2.096
Au 1.797 -0.625 1.962
Au 0.956 -0.383 -0.844
Au 3.720 -1.415 -0.493
Ga 3.657 -1.465 -3.230
```

size of the total moment = 0.000 μB/f.u.
DFT total energy = -2.77 eV/atom
energy relative to the elements = -0.117 eV per atom
symmetry = I4mm
DOS(E_F) = 0.4303 states/eV/atom



Record 9
Computed, not measured: a relaxed SrNiP2 crystal at the PBE-GGA level of DFT. Values from VASP.

```
&SYSTEM
  ibrav = 0, nat = 4, ntyp = 3
/
ATOMIC_SPECIES
P 30.97 P.upf
Ni 58.69 Ni.upf
Sr 87.62 Sr.upf
CELL_PARAMETERS angstrom
5.518 0.318 0.002
4.047 3.764 0.002
1.193 0.509 4.273
ATOMIC_POSITIONS angstrom
P 8.330 3.555 3.350
P 8.555 3.651 1.078
Ni 3.031 1.293 0.128
Sr 5.788 2.470 1.866
```

size of the total moment = 0.000 μB/f.u.
DFT total energy = -5.21 eV/atom
energy relative to the elements = -0.644 eV per atom
symmetry = Cm
DOS(E_F) = 0.2249 states/eV/atom



Record 10
Computed, not measured: a relaxed NdEr5In3 crystal at the PBE-GGA level of DFT. Values from VASP.

```
&SYSTEM
  ibrav = 0, nat = 18, ntyp = 3
/
ATOMIC_SPECIES
Nd 144.24 Nd.upf
Er 167.26 Er.upf
In 114.82 In.upf
CELL_PARAMETERS angstrom
-2.375 -1.553 -6.080
3.386 -8.643 0.885
-8.652 1.936 2.886
ATOMIC_POSITIONS angstrom
Nd 0.000 0.000 0.000
Nd -1.188 -0.777 -3.040
Er -6.386 0.907 0.412
Er -1.815 -5.893 -1.488
Er -0.662 -4.022 -4.268
Er 1.673 -6.174 -0.928
Er -1.256 -9.167 -2.721
Er -0.627 -5.117 1.552
Er -5.307 -5.654 -2.036
Er -4.639 -1.590 2.219
Er -5.827 -2.367 -0.822
Er -2.335 -2.606 -0.273
In -7.489 0.112 -2.657
In -3.574 -3.448 -3.277
In 0.559 -3.331 -1.219
In -0.153 -8.372 0.347
In -4.067 -4.812 0.967
In 0.452 -6.865 -3.976
```

size of the total moment = 0.016 μB/f.u.
DFT total energy = -4.32 eV/atom
energy relative to the elements = -0.346 eV per atom
symmetry = P6_3/mcm
DOS(E_F) = 1.0890 states/eV/atom



Record 11
Computed, not measured: a relaxed Li2CeBr6 crystal at the PBE-GGA level of DFT. Values from VASP.

```
&SYSTEM
  ibrav = 0, nat = 9, ntyp = 3
/
ATOMIC_SPECIES
Br 79.90 Br.upf
Li 6.94 Li.upf
Ce 140.12 Ce.upf
CELL_PARAMETERS angstrom
4.366 0.000 0.000
2.183 7.978 0.721
2.183 4.244 9.329
ATOMIC_POSITIONS angstrom
Br 4.366 4.316 4.480
Br 4.366 7.906 5.571
Br 2.183 6.979 2.452
Br 2.183 2.793 1.477
Br 6.549 5.244 7.598
Br 6.549 9.430 8.573
Li 2.183 5.124 0.464
Li 6.549 7.099 9.586
Ce 2.183 6.111 5.025
```

size of the total moment = 0.107 μB/f.u.
E_form (uncorrected) = -1.49 eV/atom
DFT total energy = -3.69 eV/atom
symmetry = C2/m
DOS(E_F) = 0.6875 states/eV/atom



Record 12
Computed, not measured: a relaxed TcSn2Mo crystal at the PBE-GGA level of DFT. Values from VASP.

```
&SYSTEM
  ibrav = 0, nat = 16, ntyp = 3
/
ATOMIC_SPECIES
Sn 118.71 Sn.upf
Tc 98.00 Tc.upf
Mo 95.94 Mo.upf
CELL_PARAMETERS angstrom
5.490 0.000 -0.005
0.000 4.470 0.000
-3.609 0.000 13.033
ATOMIC_POSITIONS angstrom
Sn 1.542 2.235 6.525
Sn 3.346 0.000 0.008
Sn 4.200 2.235 4.636
Sn 2.395 0.000 11.152
Sn 0.580 2.235 1.553
Sn -0.128 2.235 9.790
Sn 1.677 0.000 3.274
Sn -1.225 0.000 8.070
Tc 1.177 2.235 12.182
Tc 3.356 2.235 1.830
Tc 1.551 0.000 8.346
Tc 2.981 0.000 5.666
Mo -1.718 2.235 12.115
Mo 2.581 2.235 9.367
Mo 0.086 0.000 5.599
Mo 4.385 0.000 2.851
```

size of the total moment = 0.000 μB/f.u.
DFT total energy = -7.20 eV/atom
energy relative to the elements = 0.100 eV per atom
symmetry = Cm
DOS(E_F) = 0.4452 states/eV/atom



Copy entry 7 word for word.
Computed, not measured: a relaxed FeHg2Ru crystal at the PBE-GGA level of DFT. Values from VASP.

```
&SYSTEM
  ibrav = 0, nat = 4, ntyp = 3
/
ATOMIC_SPECIES
Hg 200.59 Hg.upf
Fe 55.84 Fe.upf
Ru 101.07 Ru.upf
CELL_PARAMETERS angstrom
9.673 -0.062 -0.036
9.244 2.849 -0.036
9.244 1.362 2.503
ATOMIC_POSITIONS angstrom
Hg 6.782 0.999 0.585
Hg 0.310 0.046 0.027
Fe 21.389 3.151 1.846
Ru 13.763 2.028 1.188
```

size of the total moment = 2.729 μB/f.u.
DFT total energy = -4.15 eV/atom
energy relative to the elements = 0.436 eV per atom
symmetry = R3m
DOS(E_F) = 1.0951 states/eV/atom



Which formula does entry 1 have? TiFeH3



Number 1 is which compound? TiFeH3